Entry 1:
{"formula": "NdCu4As3", "functional": "PBE-GGA", "state": "optimized geometry", "sg": "P4/mmm (123)", "ef_ev_per_fu": -2.8, "n_ef_per_ev_atom": 0.360, "vol_a3_per_atom": 17.4, "lattice_angstrom": [[4.0166, 0.0000, 0.0000], [0.0000, 4.0166, 0.0000], [0.0000, 0.0000, 8.6331]], "species": ["As", "Cu", "Cu", "Nd", "Cu", "As", "Cu", "As"], "frac_coords": [[0.5000, 0.5000, 0.3331], [0.0000, 0.5000, 0.1689], [0.5000, 0.0000, 0.8311], [0.0000, 0.0000, 0.5000], [0.0000, 0.5000, 0.8311], [0.5000, 0.5000, 0.6669], [0.5000, 0.0000, 0.1689], [0.0000, 0.0000, 0.0000]]}



Entry 2:
{"formula": "NdCuNiAs2", "functional": "PBE-GGA", "state": "optimized geometry", "sg": "I-4m2 (119)", "ef_ev_per_fu": -3.4, "n_ef_per_ev_atom": 0.493, "vol_a3_per_atom": 17.8, "lattice_angstrom": [[-3.4585, -2.0331, 0.3837], [1.7164, -2.4021, 2.7433], [-0.6972, 5.6354, 2.4105]], "species": ["Ni", "Nd", "As", "Cu", "As"], "frac_coords": [[0.7500, 0.2500, 0.5000], [0.0000, 0.0000, 0.0000], [0.6290, 0.6290, 0.2580], [0.2500, 0.7500, 0.5000], [0.3710, 0.3710, 0.7420]]}



Entry 3:
{"formula": "Nd2CuNi3As4", "functional": "PBE-GGA", "state": "optimized geometry", "sg": "P-4m2 (115)", "ef_ev_per_fu": -7.8, "n_ef_per_ev_atom": 0.325, "vol_a3_per_atom": 17.1, "lattice_angstrom": [[-0.8547, -4.1385, -0.2257], [1.6917, -0.5587, 3.8386], [-8.5556, 1.5489, 3.9961]], "species": ["As", "As", "Nd", "Ni", "Cu", "Ni", "As", "As", "Ni", "Nd"], "frac_coords": [[0.0000, 0.0000, 0.0000], [0.5000, 0.5000, 0.0000], [0.0000, 0.5000, 0.7503], [0.0000, 0.5000, 0.1167], [0.5000, 0.5000, 0.5000], [0.5000, 0.0000, 0.8833], [0.0000, 0.5000, 0.3665], [0.5000, 0.0000, 0.6335], [0.0000, 0.0000, 0.5000], [0.5000, 0.0000, 0.2497]]}



Entry 4:
{"formula": "NdCuAs2O8", "functional": "PBE-GGA", "state": "optimized geometry", "sg": "I-4m2 (119)", "n_ef_per_ev_atom": 0.749, "e_form_raw_ev_per_atom": -1.357, "vol_a3_per_atom": 13.8, "lattice_angstrom": [[6.0050, 0.0344, 0.0000], [-2.6326, 5.3973, 0.0000], [-1.6862, -2.7158, 5.0835]], "species": ["O", "O", "O", "Nd", "O", "Cu", "O", "As", "O", "O", "O", "As"], "frac_coords": [[0.3255, 0.5100, 0.1845], [0.4900, 0.6745, 0.8155], [0.8590, 0.6745, 0.1845], [0.0000, 0.0000, 0.0000], [0.3932, 0.0695, 0.3238], [0.2500, 0.7500, 0.5000], [0.9305, 0.6068, 0.6762], [0.7500, 0.2500, 0.5000], [0.9305, 0.2543, 0.3238], [0.3255, 0.1410, 0.8155], [0.7457, 0.0695, 0.6762], [0.5000, 0.5000, 0.0000]]}



Entry 5:
{"formula": "NdCuAs2Pd", "functional": "PBE-GGA", "state": "optimized geometry", "sg": "I-4m2 (119)", "ef_ev_per_fu": -3.6, "n_ef_per_ev_atom": 0.420, "vol_a3_per_atom": 19.0, "lattice_angstrom": [[-3.0189, 1.1033, 2.5618], [-2.6230, -2.4069, -2.0544], [4.1221, -3.6601, 3.1367]], "species": ["As", "Nd", "As", "Pd", "Cu"], "frac_coords": [[0.3801, 0.3801, 0.7602], [0.0000, 0.0000, 0.0000], [0.6199, 0.6199, 0.2398], [0.7500, 0.2500, 0.5000], [0.2500, 0.7500, 0.5000]]}



Entry 6:
{"formula": "Nd2Cu3As4Pd", "functional": "PBE-GGA", "state": "optimized geometry", "sg": "P-4m2 (115)", "ef_ev_per_fu": -6.7, "n_ef_per_ev_atom": 0.083, "vol_a3_per_atom": 18.6, "lattice_angstrom": [[-0.0689, -0.0111, 4.2778], [-4.2513, -0.4760, -0.0697], [1.1297, -10.0890, -0.0080]], "species": ["Pd", "As", "As", "Nd", "Cu", "As", "As", "Cu", "Nd", "Cu"], "frac_coords": [[0.5000, 0.5000, 0.5000], [0.5000, 0.5000, 0.0000], [0.0000, 0.0000, 0.0000], [0.0000, 0.5000, 0.7454], [0.0000, 0.0000, 0.5000], [0.0000, 0.5000, 0.3602], [0.5000, 0.0000, 0.6398], [0.0000, 0.5000, 0.1267], [0.5000, 0.0000, 0.2546], [0.5000, 0.0000, 0.8733]]}



Entry 7:
{"formula": "PmNdCuAs", "functional": "PBE-GGA", "state": "optimized geometry", "sg": "F-43m (216)", "ef_ev_per_fu": -2.4, "n_ef_per_ev_atom": 0.924, "vol_a3_per_atom": 23.5, "lattice_angstrom": [[-1.7912, -2.9097, 3.7945], [3.1894, -1.8105, 3.5529], [-0.1743, 1.8362, 4.7614]], "species": ["As", "Cu", "Pm", "Nd"], "frac_coords": [[0.0000, 0.0000, 0.0000], [0.5000, 0.5000, 0.5000], [0.2500, 0.2500, 0.2500], [0.7500, 0.7500, 0.7500]]}



Entry 8:
{"formula": "Nd2CuAs3Pt4", "functional": "PBE-GGA", "state": "optimized geometry", "sg": "P-4m2 (115)", "ef_ev_per_fu": -8.2, "n_ef_per_ev_atom": 0.531, "vol_a3_per_atom": 19.3, "lattice_angstrom": [[4.4049, 0.0000, 0.0000], [0.0000, 4.4049, 0.0000], [0.0000, 0.0000, 9.9483]], "species": ["Pt", "Pt", "As", "As", "Nd", "Nd", "As", "Cu", "Pt", "Pt"], "frac_coords": [[0.5000, 0.5000, 0.0000], [0.0000, 0.0000, 0.0000], [0.0000, 0.5000, 0.1343], [0.5000, 0.0000, 0.8657], [0.0000, 0.5000, 0.7507], [0.5000, 0.0000, 0.2493], [0.0000, 0.0000, 0.5000], [0.5000, 0.5000, 0.5000], [0.5000, 0.0000, 0.6201], [0.0000, 0.5000, 0.3799]]}